The following is a GGA-PBEsol calculation of a relaxed GdTmRh2 crystal, from Alexandria via LeMat-Bulk.

The structure belongs to space group Fm-3m (No. 225); the cell edges are 6.7249, 6.7249 and 6.7249 Å and the angles 90.00°, 90.00° and 90.00°. Symmetry generates all atoms from Gd at (0.0000, 0.0000, 0.0000), Tm at (0.0000, 0.0000, 0.5000) and Rh at (0.2500, 0.2500, 0.2500).

The calculation puts the formation energy at -0.827 eV/atom. Its calculated volume is 19.01 A^3/atom.